TiV6Cr2 | GGA-PBE | relaxed Values from VASP.

Calculated values
* electronic total energy: -8.835 eV per atom
* ΔE_f: 0.260 eV per atom
* Fermi-level density of states: 23.6 states/eV per cell
* crystal system: orthorhombic
* space-group type: Immm, No. 71
* total magnetization: 0.00 μB per formula unit

Structure (Quantum ESPRESSO input):
```
&SYSTEM
  ibrav = 0, nat = 18, ntyp = 3
/
ATOMIC_SPECIES
Ti 47.87 Ti.upf
V 50.94 V.upf
Cr 52.00 Cr.upf
CELL_PARAMETERS angstrom
-3.5435 4.1751 4.2458
3.5435 -4.1751 4.2458
3.5435 4.1751 -4.2458
ATOMIC_POSITIONS angstrom
Ti 0.0000 0.0000 0.0000
Ti 3.5435 0.0000 0.0000
V 3.5435 2.4654 -2.1068
V 1.9547 1.9198 0.0000
V 5.1322 1.9198 0.0000
V 2.1358 0.0000 2.1887
V 4.9511 0.0000 2.1887
V 0.0000 1.7097 2.1391
V 3.5435 2.4654 2.1068
V -1.4076 4.1751 2.0571
V 1.4076 4.1751 2.0571
V -1.5888 2.2553 4.2458
V 1.5888 2.2553 4.2458
V 0.0000 1.7097 6.3526
Cr 0.0000 2.9863 0.0000
Cr 2.3586 4.1751 0.0000
Cr 1.1849 0.0000 4.2458
Cr 0.0000 5.3639 0.0000
```